# Ti2VC2

A relaxed Ti2VC2 crystal (PBE, Alexandria).

```
Ti2VC2
1.0
5.7691 0.0000 0.0000
0.0000 5.7691 0.0000
0.0000 0.0000 3.0851
Ti V C
4 2 4
direct
0.1637 0.3363 0.0000 Ti
0.3363 0.8363 0.0000 Ti
0.6637 0.1637 0.0000 Ti
0.8363 0.6637 0.0000 Ti
0.0000 0.0000 0.5000 V
0.5000 0.5000 0.5000 V
0.1462 0.6462 0.5000 C
0.3538 0.1462 0.5000 C
0.6462 0.8538 0.5000 C
0.8538 0.3538 0.5000 C
```



# Ti5VC3

A relaxed Ti5VC3 crystal (PBE, Alexandria).

```
Ti5VC3
1.0
4.6741 -3.5675 0.0000
4.6741 3.5675 0.0000
-3.1297 0.0000 6.9472
Ti V C
10 2 6
direct
0.0628 0.0628 0.3627 Ti
0.1290 0.5339 0.3355 Ti
0.2024 0.7976 0.0000 Ti
0.2677 0.2677 0.9688 Ti
0.4661 0.8710 0.6645 Ti
0.5339 0.1290 0.3355 Ti
0.7323 0.7323 0.0312 Ti
0.7976 0.2024 0.0000 Ti
0.8710 0.4661 0.6645 Ti
0.9372 0.9372 0.6373 Ti
0.4046 0.4046 0.7024 V
0.5954 0.5954 0.2976 V
0.1665 0.1665 0.1670 C
0.1733 0.1733 0.6657 C
0.5000 0.5000 0.0000 C
0.5000 0.5000 0.5000 C
0.8267 0.8267 0.3343 C
0.8335 0.8335 0.8330 C
```



# Ti3V3C

A relaxed Ti3V3C crystal (PBE, Alexandria).

```
Ti3V3C
1.0
0.0000 5.7818 5.7818
5.7818 0.0000 5.7818
5.7818 5.7818 0.0000
Ti V C
12 12 4
direct
0.0614 0.0614 0.6886 Ti
0.0614 0.6886 0.0614 Ti
0.0614 0.6886 0.6886 Ti
0.3114 0.3114 0.9386 Ti
0.3114 0.9386 0.3114 Ti
0.3114 0.9386 0.9386 Ti
0.6886 0.0614 0.0614 Ti
0.6886 0.0614 0.6886 Ti
0.6886 0.6886 0.0614 Ti
0.9386 0.3114 0.3114 Ti
0.9386 0.3114 0.9386 Ti
0.9386 0.9386 0.3114 Ti
0.0000 0.5000 0.5000 V
0.2925 0.2925 0.2925 V
0.2925 0.2925 0.6226 V
0.2925 0.6226 0.2925 V
0.3774 0.7075 0.7075 V
0.5000 0.0000 0.5000 V
0.5000 0.5000 0.0000 V
0.5000 0.5000 0.5000 V
0.6226 0.2925 0.2925 V
0.7075 0.3774 0.7075 V
0.7075 0.7075 0.3774 V
0.7075 0.7075 0.7075 V
0.0000 0.0000 0.0000 C
0.0000 0.0000 0.5000 C
0.0000 0.5000 0.0000 C
0.5000 0.0000 0.0000 C
```



# TiV4C2

A relaxed TiV4C2 crystal (PBE, Alexandria).

```
TiV4C2
1.0
7.2529 0.0000 0.0000
0.0000 7.2529 0.0000
0.0000 0.0000 2.9269
Ti V C
2 8 4
direct
0.0000 0.0000 0.0000 Ti
0.5000 0.5000 0.5000 Ti
0.0975 0.3205 0.5000 V
0.1795 0.5975 0.0000 V
0.3205 0.0975 0.5000 V
0.4025 0.8205 0.0000 V
0.5975 0.1795 0.0000 V
0.6795 0.9025 0.5000 V
0.8205 0.4025 0.0000 V
0.9025 0.6795 0.5000 V
0.1747 0.8253 0.5000 C
0.3253 0.3253 0.0000 C
0.6747 0.6747 0.0000 C
0.8253 0.1747 0.5000 C
```



# Ti2VC2

A relaxed Ti2VC2 crystal (PBE, Alexandria).

```
Ti2VC2
1.0
0.0000 4.7348 5.2517
2.6080 0.0000 5.2517
2.6080 4.7348 0.0000
Ti V C
4 2 4
direct
0.0793 0.6707 0.0793 Ti
0.3293 0.9207 0.3293 Ti
0.6707 0.0793 0.6707 Ti
0.9207 0.3293 0.9207 Ti
0.3750 0.3750 0.3750 V
0.6250 0.6250 0.6250 V
0.0000 0.5000 0.5000 C
0.5000 0.0000 0.5000 C
0.5000 0.5000 0.0000 C
0.5000 0.5000 0.5000 C
```



# TiVC2

A relaxed TiVC2 crystal (PBE, Alexandria).

```
TiVC2
1.0
1.4990 0.8655 4.9164
-1.4990 0.8655 4.9164
0.0000 -1.7309 4.9164
Ti V C
1 1 2
direct
0.0000 0.0000 0.0000 Ti
0.5000 0.5000 0.5000 V
0.2470 0.2470 0.2470 C
0.7530 0.7530 0.7530 C
```



# TiVC2

A relaxed TiVC2 crystal (PBE, Alexandria).

```
TiVC2
1.0
-2.3171 2.3171 4.5865
2.3171 -2.3171 4.5865
2.3171 2.3171 -4.5865
Ti V C
2 2 4
direct
0.0000 0.0000 0.0000 Ti
0.7500 0.2500 0.5000 Ti
0.2500 0.7500 0.5000 V
0.5000 0.5000 0.0000 V
0.1451 0.6250 0.0201 C
0.3750 0.3951 0.5201 C
0.6049 0.1250 0.9799 C
0.8750 0.8549 0.4799 C
```



# TiV2C3

A relaxed TiV2C3 crystal (PBE, Alexandria).

```
TiV2C3
1.0
2.5799 -4.4697 0.0000
2.5799 4.4697 0.0000
-1.7193 0.0000 4.8778
Ti V C
2 4 6
direct
0.1668 0.8332 0.0000 Ti
0.8332 0.1668 0.0000 Ti
0.0000 0.0000 0.5000 V
0.3314 0.6686 0.5000 V
0.5000 0.5000 0.0000 V
0.6686 0.3314 0.5000 V
0.0851 0.4150 0.7448 C
0.2560 0.2560 0.2576 C
0.4150 0.0851 0.7448 C
0.5850 0.9149 0.2552 C
0.7440 0.7440 0.7423 C
0.9149 0.5850 0.2552 C
```



Number 1: energy of formation from the pure elements -0.51 eV/atom, total energy -9.1830 eV/atom. Number 2: energy of formation from the pure elements -0.60 eV/atom, total energy -9.0720 eV/atom. Number 3: energy of formation from the pure elements -0.19 eV/atom, total energy -8.7976 eV/atom. Number 4: energy of formation from the pure elements -0.28 eV/atom, total energy -9.2518 eV/atom. Number 5: energy of formation from the pure elements -0.12 eV/atom, total energy -8.7912 eV/atom. Number 6: energy of formation from the pure elements -0.62 eV/atom, total energy -9.4858 eV/atom. Number 7: energy of formation from the pure elements 0.00 eV/atom, total energy -8.8638 eV/atom. Number 8: energy of formation from the pure elements -0.55 eV/atom, total energy -9.5205 eV/atom.